# CdCuSb2

CdCuSb2 after structural relaxation (PBE-GGA, the Alexandria database).

Output
Formation energy from raw total energies ... 12.34 kJ per mole of atoms
Total moment ... 0.0 Bohr magnetons per cell

a b c (Å): 8.6911 3.0792 7.4088
angles (deg): 90.00 97.06 90.00
Closest atoms and distances in Å follow each position.
Space group Cm (No. 8)
One atom of each set of equivalent atoms:
Cd  0.0000  0.0000  0.0000  2 Cu 2.73, 3 Sb 3.02-3.04
Cu  0.3359  0.0000  0.7400  3 Sb 2.65-2.69, 2 Cd 2.73
Sb  0.1049  0.5000  0.5947  3 Cu 2.65-2.69
Sb  0.2462  0.5000  0.2439  3 Sb 3.01-3.08, 3 Cd 3.02-3.04

---

# CdCuSb2

CdCuSb2 after structural relaxation (PBE-GGA, the Alexandria database).

Output
Formation energy from raw total energies ... 22.54 kJ per mole of atoms
Total moment ... 0.0 Bohr magnetons per cell

a b c (Å): 6.1701 7.3114 4.9819
angles (deg): 90.00 118.64 90.00
Closest atoms and distances in Å follow each position.
Space group C2/m (No. 12)
One atom of each set of equivalent atoms:
Cd  0.0000  0.0000  0.0000  4 Sb 2.87, 2 Cu 3.09
Cu  0.0000  0.5000  0.0000  4 Sb 2.87, 2 Cd 3.09
Sb  0.2500  0.2500  0.5000  2 Cd 2.87, 2 Cu 2.87, 2 Sb 3.09

---

# CdCu2Sb

CdCu2Sb after structural relaxation (PBE-GGA, the Alexandria database).

Output
Excess energy over the best structure of this formula in the dataset ... 152 meV/atom
Formation energy from raw total energies ... 22.99 kJ per mole of atoms
Total moment ... 0.0 Bohr magnetons per cell

a b c (Å): 4.3563 4.3563 17.2535
angles (deg): 90.00 90.00 90.00
Closest atoms and distances in Å follow each position.
Space group I-42d (No. 122)
One atom of each set of equivalent atoms:
Cd  0.0000  0.0000  0.0000  4 Cu 2.74
Cu  0.2056  0.2500  0.6250  2 Sb 2.58, 2 Cd 2.74, 2 Cu 2.82
Sb  0.0000  0.0000  0.5000  4 Cu 2.58

---

# Cd2CuSb

Cd2CuSb after structural relaxation (PBE-GGA, the Alexandria database).

Output
Formation energy from raw total energies ... 19.87 kJ per mole of atoms
Total moment ... 0.0 Bohr magnetons per cell

a b c (Å): 5.6483 9.0363 3.3995
angles (deg): 90.00 90.00 90.00
Closest atoms and distances in Å follow each position.
Space group Cmmm (No. 65)
One atom of each set of equivalent atoms:
Cd  0.2500  0.2500  0.0000  2 Cd 2.82, 4 Cu 3.16, 4 Sb 3.16
Cu  0.0000  0.0000  0.5000  2 Sb 2.82, 8 Cd 3.16
Sb  0.0000  0.5000  0.5000  2 Cu 2.82, 8 Cd 3.16

---

# CdCuSb2

CdCuSb2 after structural relaxation (PBE-GGA, the Alexandria database).

Output
Formation energy from raw total energies ... 16.65 kJ per mole of atoms
Total moment ... 0.0 Bohr magnetons per cell

a b c (Å): 4.1408 5.0764 8.8414
angles (deg): 90.00 90.00 90.00
Closest atoms and distances in Å follow each position.
Space group Cmmm (No. 65)
One atom of each set of equivalent atoms:
Cd  0.0000  0.0000  0.0000  4 Cd 3.28, 8 Sb 3.35-3.66
Cu  0.0000  0.0000  0.5000  4 Sb 2.73
Sb  0.0000  0.5000  0.2979  2 Cu 2.73

---

# CdCuSb2

CdCuSb2 after structural relaxation (PBE-GGA, the Alexandria database).

Output
Formation energy from raw total energies ... 11.12 kJ per mole of atoms
Total moment ... 0.0 Bohr magnetons per cell

a b c (Å): 4.7070 4.0736 5.4609
angles (deg): 90.00 109.36 90.00
Closest atoms and distances in Å follow each position.
Space group P2/m (No. 10)
One atom of each set of equivalent atoms:
Cd  0.0000  0.0000  0.0000  2 Cu 2.96, 4 Sb 3.21
Cu  0.5000  0.0000  0.5000  4 Sb 2.64
Sb  0.3023  0.5000  0.7045  2 Cu 2.64

---

# CdCu2Sb2

CdCu2Sb2 after structural relaxation (PBE-GGA, the Alexandria database).

Output
Excess energy over the best structure of this formula in the dataset ... 0 meV/atom
Formation energy from raw total energies ... 14.40 kJ per mole of atoms
Total moment ... 0.0 Bohr magnetons per cell

a b c (Å): 7.1990 7.1990 3.8549
angles (deg): 90.00 90.00 90.00
Closest atoms and distances in Å follow each position.
Space group P4/mbm (No. 127)
One atom of each set of equivalent atoms:
Cd  0.0000  0.0000  0.0000  4 Cu 2.85
Cu  0.1234  0.3766  0.0000  1 Cu 2.51
Sb  0.1725  0.6725  0.5000  6 Cu 2.83-2.89

---

# CdCuSb2

CdCuSb2 after structural relaxation (PBE-GGA, the Alexandria database).

Output
Formation energy from raw total energies ... 13.88 kJ per mole of atoms
Total moment ... 0.0 Bohr magnetons per cell

a b c (Å): 5.1629 5.1629 16.2178
angles (deg): 90.00 90.00 90.00
Closest atoms and distances in Å follow each position.
Space group I-42d (No. 122)
One atom of each set of equivalent atoms:
Cd  0.0000  0.0000  0.0000  4 Sb 2.88
Cu  0.0000  0.0000  0.5000  4 Sb 2.60
Sb  0.1912  0.2500  0.6250  2 Cu 2.60, 2 Cd 2.88

---

# CdCuSb2

CdCuSb2 after structural relaxation (PBE-GGA, the Alexandria database).

Output
Formation energy from raw total energies ... 22.42 kJ per mole of atoms
Total moment ... 0.0 Bohr magnetons per cell

a b c (Å): 3.4070 3.4070 27.5822
angles (deg): 90.00 90.00 120.00
Closest atoms and distances in Å follow each position.
Space group R3m (No. 160, hexagonal axes)
One atom of each set of equivalent atoms:
Cd  0.0000  0.0000  0.0000  3 Cu 2.76
Cu  0.0000  0.0000  0.2631  3 Sb 2.69, 3 Cd 2.76
Sb  0.0000  0.0000  0.5298  3 Cu 2.69
Sb  0.0000  0.0000  0.7599  3 Cd 3.24, 9 Sb 3.41-3.46

---

# CdCu2Sb

CdCu2Sb after structural relaxation (PBE-GGA, the Alexandria database).

Output
Excess energy over the best structure of this formula in the dataset ... 114 meV/atom
Formation energy from raw total energies ... 19.32 kJ per mole of atoms
Total moment ... 0.0 Bohr magnetons per cell

a b c (Å): 4.5332 3.2265 5.5233
angles (deg): 90.00 113.74 90.00
Closest atoms and distances in Å follow each position.
Space group P2/m (No. 10)
One atom of each set of equivalent atoms:
Cd  0.0000  0.0000  0.0000  6 Cu 2.76-2.78
Cu  0.0000  0.0000  0.5000  2 Cd 2.76, 4 Sb 2.78
Cu  0.5000  0.5000  0.0000  2 Sb 2.76, 4 Cd 2.78
Sb  0.5000  0.5000  0.5000  6 Cu 2.76-2.78

---

# CdCuSb2

CdCuSb2 after structural relaxation (PBE-GGA, the Alexandria database).

Output
Formation energy from raw total energies ... 9.46 kJ per mole of atoms
Total moment ... 0.0 Bohr magnetons per cell

a b c (Å): 4.2243 4.2243 18.8423
angles (deg): 90.00 90.00 120.00
Closest atoms and distances in Å follow each position.
Space group R3m (No. 160, hexagonal axes)
One atom of each set of equivalent atoms:
Cd  0.0000  0.0000  0.0000  1 Cu 3.01, 6 Sb 3.10-3.11
Cu  0.0000  0.0000  0.1596  6 Sb 2.67-2.78
Sb  0.0000  0.0000  0.5643  3 Cu 2.78, 3 Cd 3.11
Sb  0.0000  0.0000  0.7684  3 Cu 2.67

---

# CdCu2Sb

CdCu2Sb after structural relaxation (PBE-GGA, the Alexandria database).

Output
Excess energy over the best structure of this formula in the dataset ... 161 meV/atom
Formation energy from raw total energies ... 23.89 kJ per mole of atoms
Total moment ... 0.0 Bohr magnetons per cell

a b c (Å): 3.2845 3.2845 24.3044
angles (deg): 90.00 90.00 120.00
Closest atoms and distances in Å follow each position.
Space group R-3m (No. 166, hexagonal axes)
One atom of each set of equivalent atoms:
Cd  0.0000  0.0000  0.0000  6 Cu 2.81
Cu  0.0000  0.0000  0.2482  3 Sb 2.74, 3 Cd 2.81
Sb  0.0000  0.0000  0.5000  6 Cu 2.74

---

# CdCu2Sb2

CdCu2Sb2 after structural relaxation (PBE-GGA, the Alexandria database).

Output
Excess energy over the best structure of this formula in the dataset ... 90 meV/atom
Formation energy from raw total energies ... 23.13 kJ per mole of atoms
Total moment ... 0.0 Bohr magnetons per cell

a b c (Å): 8.1491 8.1491 3.1624
angles (deg): 90.00 90.00 90.00
Closest atoms and distances in Å follow each position.
Space group P4/mbm (No. 127)
One atom of each set of equivalent atoms:
Cd  0.0000  0.0000  0.0000  4 Sb 3.00, 2 Cd 3.16
Cu  0.1123  0.3877  0.5000  1 Cu 2.59, 2 Sb 2.88
Sb  0.1784  0.6784  0.0000  6 Cu 2.88-2.90, 2 Cd 3.00, 2 Sb 3.16

---

# Cd2CuSb

Cd2CuSb after structural relaxation (PBE-GGA, the Alexandria database).

Output
Formation energy from raw total energies ... 19.14 kJ per mole of atoms
Total moment ... 0.0 Bohr magnetons per cell

a b c (Å): 3.3886 3.3886 26.5347
angles (deg): 90.00 90.00 120.00
Closest atoms and distances in Å follow each position.
Space group R-3m (No. 166, hexagonal axes)
One atom of each set of equivalent atoms:
Cd  0.0000  0.0000  0.2385  3 Cu 2.73
Cu  0.0000  0.0000  0.5000  6 Cd 2.73
Sb  0.0000  0.0000  0.0000  6 Cd 3.19, 6 Sb 3.39